(1)
## Mo2N (SCAN)

Data for Mo2N at its PBEsol-relaxed geometry.

POSCAR file:
```
Mo2N
1.0
1.437 0.830 4.916
-1.437 0.830 4.916
0.000 -1.660 4.916
Mo N
2 1
Cartesian
0.000 0.000 3.588
0.000 0.000 11.160
0.000 0.000 0.000
```

Values from the calculation:
M_tot (μB/cell): 0.0
Crystal system: trigonal
Uncorrected formation energy (eV per formula unit): -0.860
Energy relative to the lowest polymorph listed for this composition (meV/atom): 12

***

(2)
## Mo2N (SCAN)

Data for Mo2N at its PBEsol-relaxed geometry.

POSCAR file:
```
Mo2N
1.0
-2.105 2.105 3.980
2.105 -2.105 3.980
2.105 2.105 -3.980
Mo N
4 2
Cartesian
2.105 1.052 -1.077
0.000 1.052 0.913
2.105 1.052 3.067
0.000 1.052 5.057
2.105 1.052 0.995
0.000 1.052 2.985
```

Values from the calculation:
M_tot (μB/cell): 0.0
Crystal system: tetragonal
Uncorrected formation energy (eV per formula unit): -0.897
Energy relative to the lowest polymorph listed for this composition (meV/atom): 0

***

(3)
## Nb2Mo2N (SCAN)

Data for Nb2Mo2N at its PBEsol-relaxed geometry.

POSCAR file:
```
Nb2Mo2N
1.0
-1.695 1.695 7.138
1.695 -1.695 7.138
1.695 1.695 -7.138
Nb Mo N
2 2 1
Cartesian
1.695 0.000 3.569
0.000 1.695 3.569
0.000 0.000 1.151
0.000 0.000 13.126
0.000 0.000 7.138
```

Values from the calculation:
M_tot (μB/cell): 0.0
Crystal system: tetragonal
Uncorrected formation energy (eV per formula unit): 8.329

***

(4)
## NbMoN2O (SCAN)

Data for NbMoN2O at its PBEsol-relaxed geometry.

POSCAR file:
```
NbMoN2O
1.0
3.907 0.000 0.000
0.000 3.907 0.000
0.000 0.000 3.744
Nb Mo N O
1 1 2 1
Cartesian
0.000 0.000 0.000
1.954 1.954 1.872
0.000 1.954 1.872
1.954 0.000 1.872
1.954 1.954 0.000
```

Values from the calculation:
M_tot (μB/cell): 2.0
Crystal system: tetragonal
Uncorrected formation energy (eV per formula unit): -1.149

***

(5)
## Ni2Mo3N (SCAN)

Data for Ni2Mo3N at its PBEsol-relaxed geometry.

POSCAR file:
```
Ni2Mo3N
1.0
6.568 0.000 0.000
0.000 6.568 0.000
0.000 0.000 6.568
Ni Mo N
8 12 4
Cartesian
0.434 0.434 0.434
1.208 5.360 2.076
2.076 1.208 5.360
2.850 6.134 3.718
3.718 2.850 6.134
4.492 4.492 4.492
5.360 2.076 1.208
6.134 3.718 2.850
0.324 5.747 4.602
0.821 1.318 2.960
1.318 2.960 0.821
1.966 3.608 4.105
2.463 5.250 6.244
2.960 0.821 1.318
3.608 4.105 1.966
4.105 1.966 3.608
4.602 0.324 5.747
5.250 6.244 2.463
5.747 4.602 0.324
6.244 2.463 5.250
0.821 4.105 5.747
2.463 2.463 2.463
4.105 5.747 0.821
5.747 0.821 4.105
```

Values from the calculation:
M_tot (μB/cell): 0.0
Crystal system: cubic
Uncorrected formation energy (eV per formula unit): -1.576

***

(6)
## MoOsN2O (SCAN)

Data for MoOsN2O at its PBEsol-relaxed geometry.

POSCAR file:
```
MoOsN2O
1.0
3.852 0.000 0.000
0.000 3.852 0.000
0.000 0.000 3.819
Mo Os N O
1 1 2 1
Cartesian
0.000 0.000 0.000
1.926 1.926 1.909
0.000 1.926 1.909
1.926 0.000 1.909
1.926 1.926 0.000
```

Values from the calculation:
M_tot (μB/cell): 3.7
Crystal system: tetragonal
Uncorrected formation energy (eV per formula unit): 3.715

***

(7)
## MoRhNO2 (SCAN)

Data for MoRhNO2 at its PBEsol-relaxed geometry.

POSCAR file:
```
MoRhNO2
1.0
3.804 0.000 0.000
0.000 3.804 0.000
0.000 0.000 3.970
Mo Rh N O
1 1 1 2
Cartesian
0.000 0.000 0.000
1.902 1.902 1.985
0.000 0.000 1.985
0.000 1.902 0.000
1.902 0.000 0.000
```

Values from the calculation:
M_tot (μB/cell): 2.4
Crystal system: tetragonal
Uncorrected formation energy (eV per formula unit): -1.825

***

(8)
## MoRhN2O (SCAN)

Data for MoRhN2O at its PBEsol-relaxed geometry.

POSCAR file:
```
MoRhN2O
1.0
3.785 0.000 0.000
0.000 3.785 0.000
0.000 0.000 3.780
Mo Rh N O
1 1 2 1
Cartesian
0.000 0.000 0.000
1.892 1.892 1.890
0.000 1.892 1.890
1.892 0.000 1.890
1.892 1.892 0.000
```

Values from the calculation:
M_tot (μB/cell): 1.1
Crystal system: tetragonal
Uncorrected formation energy (eV per formula unit): 4.492